CaCoOF2 | Alexandria via LeMat-Bulk | PBE with a Hubbard U | relaxed; spin magnetization = 0.600 μB/atom; energy above the most stable polymorph in this dataset = 0.0 meV per atom; E_tot = -5.409 eV per atom
1.0
-3.025 0.995 -2.522
2.026 -1.682 -3.093
-1.707 -3.373 0.716
Ca Co O F
1 1 1 2
Direct
0.500 0.500 0.500
0.000 0.000 0.000
0.000 0.000 0.500
0.000 0.500 0.000
0.500 0.000 0.000